Here is Li3V3O3F5 after structural relaxation from the Alexandria database. Energies are from PBE+U.

Cell and atoms, written as POSCAR:
```
Li3V3O3F5
1.0
6.012 0.000 0.000
-3.006 5.252 0.047
0.000 -3.335 5.050
Li V O F
3 3 3 5
direct
0.992 0.985 0.015
0.612 0.224 0.356
0.262 0.525 0.761
0.624 0.247 0.875
0.135 0.749 0.365
0.614 0.749 0.365
0.860 0.719 0.150
0.388 0.775 0.605
0.382 0.765 0.156
0.866 0.731 0.601
0.856 0.227 0.607
0.370 0.227 0.607
0.391 0.270 0.143
0.879 0.270 0.143
```

Summary:
Symmetry = Cm, No. 8
Energy relative to the lowest polymorph listed for this composition = 0.0 meV/atom
Electronic total energy = -87.186 eV/f.u.